Record 1
The following is a PBE calculation of Lu2AsIr after structural relaxation, from Alexandria via LeMat-Bulk.

Summary:
SG: R-3m, No. 166
Density of states at the Fermi level, states/eV/atom: 0.1168

a b c (Å): 3.9958 3.9958 6.9296
angles (deg): 73.24 73.24 60.00
Last column: nearest neighbours and their distance in Å.
Positions (direct):
Lu (0.2475, 0.2475, 0.2574)  3 Ir 2.80, 3 As 2.85
Lu (0.7525, 0.7525, 0.7426)  3 Ir 2.80, 3 As 2.85
Ir (0.5000, 0.5000, 0.5000)  6 Lu 2.80
As (0.0000, 0.0000, 0.0000)  6 Lu 2.85

=====

Record 2
The following is a PBE calculation of Mg2AsIr after structural relaxation, from Alexandria via LeMat-Bulk.

Summary:
SG: Cmmm, No. 65
Density of states at the Fermi level, states/eV/atom: 0.2696

a b c (Å): 4.7636 4.7636 3.0478
angles (deg): 90.00 90.00 107.24
Last column: nearest neighbours and their distance in Å.
Positions (direct):
Mg (0.0000, 0.0000, 0.0000)  4 Mg 2.83-3.05, 4 Ir 2.83, 4 As 2.83
Mg (0.5000, 0.5000, 0.0000)  4 Mg 2.83-3.05, 4 As 2.83, 4 Ir 2.83
Ir (0.0000, 0.5000, 0.5000)  2 As 2.83, 8 Mg 2.83, 2 Ir 3.05
As (0.5000, 0.0000, 0.5000)  2 Ir 2.83, 8 Mg 2.83, 2 As 3.05

=====

Record 3
The following is a PBE calculation of Mg2AsIr after structural relaxation, from Alexandria via LeMat-Bulk.

Summary:
SG: R-3m, No. 166
Density of states at the Fermi level, states/eV/atom: 0.7738

a b c (Å): 8.8119 8.8119 8.8119
angles (deg): 19.91 19.91 19.91
Last column: nearest neighbours and their distance in Å.
Positions (direct):
Ir (0.7500, 0.7500, 0.7500)  6 Mg 2.68
Mg (0.0055, 0.0055, 0.0055)  3 Ir 2.68, 3 As 2.90
Mg (0.4945, 0.4945, 0.4945)  3 Ir 2.68, 3 As 2.90
As (0.2500, 0.2500, 0.2500)  6 Mg 2.90, 6 As 3.05

=====

Record 4
The following is a PBE calculation of Mg2AsIr after structural relaxation, from Alexandria via LeMat-Bulk.

Summary:
SG: P4/mmm, No. 123
Density of states at the Fermi level, states/eV/atom: 0.3288

a b c (Å): 3.0024 3.0024 7.7463
angles (deg): 90.00 90.00 89.99
Last column: nearest neighbours and their distance in Å.
Positions (direct):
Ir (0.5000, 0.5000, 0.7500)  8 Mg 2.71, 4 Ir 3.00
Mg (0.0000, 0.0000, 0.9678)  4 Ir 2.71, 4 Mg 3.00
Mg (0.0000, 0.0000, 0.5322)  4 Ir 2.71, 4 Mg 3.00
As (0.5000, 0.5000, 0.2500)  4 As 3.00, 8 Mg 3.05

=====

Record 5
The following is a PBE calculation of Mg2AsIr after structural relaxation, from Alexandria via LeMat-Bulk.

Summary:
SG: I4/mmm, No. 139
Density of states at the Fermi level, states/eV/atom: 0.5654

a b c (Å): 4.9045 4.9045 4.9045
angles (deg): 130.74 130.74 72.23
Last column: nearest neighbours and their distance in Å.
Positions (direct):
Mg (0.5000, 0.5000, 0.0000)  4 As 2.85, 4 Ir 2.85, 4 Mg 2.89
Mg (0.0000, 0.0000, 0.0000)  4 Ir 2.85, 4 As 2.85, 4 Mg 2.89
As (0.2500, 0.7500, 0.5000)  8 Mg 2.85, 4 Ir 2.89
Ir (0.7500, 0.2500, 0.5000)  8 Mg 2.85, 4 As 2.89

=====

Record 6
The following is a PBE calculation of Mg2AsIr after structural relaxation, from Alexandria via LeMat-Bulk.

Summary:
SG: Imm2, No. 44
Density of states at the Fermi level, states/eV/atom: 0.3582

a b c (Å): 6.1427 6.1427 6.1427
angles (deg): 151.29 137.59 52.02
Last column: nearest neighbours and their distance in Å.
Positions (direct):
Mg (0.0488, 0.0488, 0.0000)  2 Ir 2.83, 4 As 2.93, 4 Mg 3.05-3.08
Mg (0.7417, 0.2417, 0.5000)  4 Ir 2.71
Ir (0.2650, 0.7650, 0.5000)  2 As 2.50, 4 Mg 2.71
As (0.4445, 0.4445, 0.0000)  2 Ir 2.50

=====

Record-wise calculated formation energy values, in eV/atom: -0.9226 -0.2949 -0.1737 -0.3044 -0.2332 -0.3580